DFT (PBE-GGA) results for crystalline RbBi2TeOs at its relaxed geometry.

extended XYZ file:
```
5
Lattice="5.8983 0.0000 0.0000 0.0000 6.5168 0.0000 0.0000 0.0000 5.8983" Properties=species:S:1:pos:R:3 pbc="T T T"
Os 2.9491 3.2584 2.9491
Bi 2.9491 0.0000 0.0000
Bi 0.0000 0.0000 2.9491
Te 0.0000 0.0000 0.0000
Rb 0.0000 3.2584 0.0000
```

Calculated values
- ΔE_f (raw) (meV/atom) = 1561.6
- space group = No. 123
- volume (Å³/cell) = 226.72